[1]
The following is a DFT calculation (GGA-PBE) of an optimized crystal structure of NdPuGaHg.

Computed properties:
For the theoretical density, the calculation gives 10.45 g/cm3. For the calculated total energy, the calculation gives -5.914 eV per atom. The calculation puts the spin magnetization at 6.39 μB per formula unit. Its formation energy is -0.307 eV/atom.

a b c (Å): 7.4809 7.4809 7.4809
angles (deg): 90.00 90.00 90.00
Closest atoms and distances in Å follow each position.
Space group F-43m (No. 216)
Inequivalent atoms, fractional coordinates:
Nd 0.0000 0.0000 0.0000 (multiplicity 4)  4 Hg 3.24, 4 Ga 3.24
Pu 0.0000 0.0000 0.5000 (multiplicity 4)  4 Hg 3.24, 4 Ga 3.24
Ga 0.2500 0.2500 0.2500 (multiplicity 4)  4 Nd 3.24, 4 Pu 3.24
Hg 0.2500 0.2500 0.7500 (multiplicity 4)  4 Nd 3.24, 4 Pu 3.24


[2]
The following is a DFT calculation (GGA-PBE) of an optimized crystal structure of Nd2Ga3HgRh4.

Computed properties:
For the theoretical density, the calculation gives 9.45 g/cm3. For the calculated total energy, the calculation gives -5.490 eV per atom. The calculation puts the spin magnetization at 0.00 μB per formula unit. Its formation energy is -0.658 eV/atom.

a b c (Å): 4.2894 4.2894 10.5962
angles (deg): 90.00 90.00 90.00
Closest atoms and distances in Å follow each position.
Space group P-4m2 (No. 115)
Inequivalent atoms, fractional coordinates:
Nd 0.0000 0.5000 0.2372 (multiplicity 2)  8 Rh 3.26-3.30, 6 Ga 3.28-3.51, 2 Hg 3.51
Ga 0.0000 0.5000 0.8818 (multiplicity 2)  5 Rh 2.44-2.48
Ga 0.5000 0.5000 0.5000 (multiplicity 1)  4 Rh 2.68
Hg 0.0000 0.0000 0.5000 (multiplicity 1)  4 Rh 2.68
Rh 0.0000 0.0000 0.0000 (multiplicity 1)  4 Ga 2.48
Rh 0.0000 0.5000 0.6511 (multiplicity 2)  3 Ga 2.44-2.68, 2 Hg 2.68
Rh 0.5000 0.5000 0.0000 (multiplicity 1)  4 Ga 2.48


Which formula does entry 1 have? NdPuGaHg